# 1
A plane-wave DFT calculation with PBE was carried out for SrNi2Sn3 after structural relaxation.

Summary:
The energy of formation comes out at -0.17 eV per atom. The spin magnetization comes out at 0.000 Bohr magnetons per cell. The total energy comes out at -157.5 eV per cell.

Cell lengths 6.9288, 6.9288, 20.3158 Å; angles 90.00, 90.00, 120.00 degrees
Space group R-3m (No. 166, hexagonal axes)
Symmetry-distinct sites (fractional):
Sr1 0.0000 0.0000 0.2188
Ni1 0.0000 0.0000 0.0000
Ni2 0.0000 0.5000 0.0000
Sn1 0.0136 0.5068 0.2514


# 2
A plane-wave DFT calculation with PBE was carried out for Zr2CdHg after structural relaxation.

Summary:
The energy of formation comes out at -0.10 eV per atom. The spin magnetization comes out at 0.000 Bohr magnetons per cell. The total energy comes out at -37.4 eV per cell.

Cell lengths 11.0809, 3.2667, 5.2932 Å; angles 90.00, 113.35, 90.00 degrees
Space group Cm (No. 8)
Symmetry-distinct sites (fractional):
Zr1 0.0000 0.0000 0.0000
Zr2 0.2488 0.0000 0.8464
Cd1 0.2586 0.5000 0.3556
Hg1 0.0005 0.5000 0.4932


Question: Look up the spin magnetization of the first one.
Answer: 0.000 Bohr magnetons per cell


Question: What is the formula in the first record?
Answer: SrNi2Sn3


Question: Among the records above, which one has the lowest energy of formation?
Answer: SrNi2Sn3


Question: The lowest energy of formation belongs to which entry?
Answer: SrNi2Sn3